No. 1
VASP calculation (PBEsol) on a relaxed structure of TcAsSeN2.

CIF file:
```
data_TcAsSeN2
_chemical_formula_sum 'Tc1 As1 Se1 N2'
_cell_length_a 3.6671
_cell_length_b 3.6671
_cell_length_c 5.6309
_cell_angle_alpha 90.00
_cell_angle_beta 90.00
_cell_angle_gamma 90.00
_symmetry_space_group_name_H-M 'P 1'
_symmetry_Int_Tables_number 1
loop_
_symmetry_equiv_pos_as_xyz
'x,y,z'
loop_
_atom_site_label
_atom_site_type_symbol
_atom_site_fract_x
_atom_site_fract_y
_atom_site_fract_z
_atom_site_occupancy
Tc1 Tc 0.0000 0.0000 0.0000 1
As1 As 0.5000 0.5000 0.5000 1
Se1 Se 0.5000 0.5000 0.0000 1
N1 N 0.0000 0.5000 0.5000 1
N2 N 0.5000 0.0000 0.5000 1
```

No. 2
VASP calculation (PBEsol) on a relaxed structure of TiAs2SeN.

CIF file:
```
data_TiAs2SeN
_chemical_formula_sum 'Ti1 As2 Se1 N1'
_cell_length_a 4.8255
_cell_length_b 4.8255
_cell_length_c 4.7901
_cell_angle_alpha 90.00
_cell_angle_beta 90.00
_cell_angle_gamma 90.00
_symmetry_space_group_name_H-M 'P 1'
_symmetry_Int_Tables_number 1
loop_
_symmetry_equiv_pos_as_xyz
'x,y,z'
loop_
_atom_site_label
_atom_site_type_symbol
_atom_site_fract_x
_atom_site_fract_y
_atom_site_fract_z
_atom_site_occupancy
Ti1 Ti 0.0000 0.0000 0.0000 1
As1 As 0.0000 0.5000 0.0000 1
As2 As 0.5000 0.0000 0.0000 1
Se1 Se 0.0000 0.0000 0.5000 1
N1 N 0.5000 0.5000 0.5000 1
```

Number 1: ΔE_f (raw) 35.32 kcal/mol of atoms. Number 2: ΔE_f (raw) 23.54 kcal/mol of atoms.